Compound: NbFeReSi
Source: OQMD via LeMat-Bulk
Functional: PBE
Structure: relaxed

For the magnetic moment, the calculation gives 0.0 μB/f.u. For the calculated total energy, the calculation gives -148.63 eV/cell.

It has space group F-43m (No. 216), with a = 6.051 Å, b = 6.051 Å, c = 6.051 Å, α = 90.00°, β = 90.00° and γ = 90.00°. The distinct sites, in fractional coordinates, are Nb at (0.000, 0.000, 0.000), Fe at (0.250, 0.250, 0.750), Re at (0.250, 0.250, 0.250) and Si at (0.000, 0.000, 0.500).